Computed, not measured: a relaxed LiUCl4 crystal at the GGA-PBE level of DFT.

Cell and atoms, written as CIF:
```
data_LiUCl4
_cell_length_a 7.586
_cell_length_b 7.586
_cell_length_c 6.892
_cell_angle_alpha 115.15
_cell_angle_beta 115.15
_cell_angle_gamma 29.70
_symmetry_space_group_name_H-M 'P 1'
_symmetry_Int_Tables_number 1
_symmetry_space_group_name_Hall 'P 1'
loop_
_atom_site_label
_atom_site_type_symbol
_atom_site_fract_x
_atom_site_fract_y
_atom_site_fract_z
_atom_site_occupancy
Li1 Li 0.000 0.000 0.000 1
U1 U 0.500 0.500 0.500 1
Cl1 Cl 0.119 0.119 0.785 1
Cl2 Cl 0.398 0.398 0.743 1
Cl3 Cl 0.602 0.602 0.257 1
Cl4 Cl 0.881 0.881 0.215 1
```

Properties
* calculated total energy: -0.3746 Ry/atom
* D(E_F): 6.30 states/eV per cell
* formation energy (no corrections): -1666 meV per atom
* magnetic moment: 3.00 Bohr magnetons per cell
* V: 176.50 Å³ per cell
* relative energy among the computed polymorphs: 0.311 eV/f.u.